[1]
VASP calculation (PBE-GGA) on a relaxed structure of TbYTh4.

Cell and atoms, written as POSCAR:
```
TbYTh4
1.0
3.501 0.000 0.000
0.000 5.722 0.000
0.000 0.000 9.885
Tb Y Th
1 1 4
Cartesian
0.000 0.000 0.000
0.000 2.861 4.943
1.751 0.000 3.296
1.751 0.000 6.590
1.751 2.861 1.650
1.751 2.861 8.236
```

Output
SG: Pmmm
VASP energy: -40.22 eV per cell
DOS at the Fermi energy: 7.7 states/eV/cell
total magnetic moment: 0.00 μB/f.u.

---

[2]
VASP calculation (PBE-GGA) on a relaxed structure of Na3TaMn2Se6.

Cell and atoms, written as POSCAR:
```
Na3TaMn2Se6
1.0
3.370 -5.838 0.000
3.370 5.838 0.000
-2.251 0.000 6.888
Na Ta Mn Se
3 1 2 6
Cartesian
0.000 0.000 0.000
3.370 1.969 0.000
3.370 -1.969 0.000
2.245 0.000 3.444
2.245 3.895 3.444
2.245 -3.895 3.444
1.155 1.893 1.989
0.063 0.000 4.894
1.155 -1.893 1.989
3.335 1.893 4.899
4.427 0.000 1.994
3.335 -1.893 4.899
```

Output
SG: C2/m
VASP energy: -64.40 eV per cell
DOS at the Fermi energy: 2.4 states/eV/cell
formation energy from raw total energies: -0.779 eV per atom
total magnetic moment: 10.03 μB/f.u.

---

[3]
VASP calculation (PBE-GGA) on a relaxed structure of LiHf3Hg.

Cell and atoms, written as POSCAR:
```
LiHf3Hg
1.0
4.692 0.000 0.000
0.000 4.692 0.000
0.000 0.000 4.692
Li Hf Hg
1 3 1
Cartesian
0.000 0.000 0.000
0.000 0.000 2.346
0.000 2.346 0.000
2.346 0.000 0.000
2.346 2.346 2.346
```

Output
SG: Pm-3m
polymorph energy (0 for the lowest one): 0.00 eV/f.u.
VASP energy: -28.65 eV per cell
DOS at the Fermi energy: 3.9 states/eV/cell
total magnetic moment: 0.00 μB/f.u.

---

[4]
VASP calculation (PBE-GGA) on a relaxed structure of CaZr2W.

Cell and atoms, written as POSCAR:
```
CaZr2W
1.0
9.259 0.000 0.000
0.000 3.062 0.000
-0.379 0.000 6.640
Ca Zr W
2 4 2
Cartesian
0.000 0.000 0.000
4.630 1.531 0.000
1.939 0.000 4.649
2.312 1.531 1.991
6.568 1.531 4.649
6.942 0.000 1.991
-0.189 1.531 3.320
4.440 0.000 3.320
```

Output
SG: C2/m
polymorph energy (0 for the lowest one): 0.96 eV/f.u.
VASP energy: -60.46 eV per cell
DOS at the Fermi energy: 5.8 states/eV/cell
total magnetic moment: 0.00 μB/f.u.

---

[5]
VASP calculation (PBE-GGA) on a relaxed structure of TbHg7.

Cell and atoms, written as POSCAR:
```
TbHg7
1.0
0.000 4.689 4.689
4.689 0.000 4.689
4.689 4.689 0.000
Tb Hg
1 7
Cartesian
0.000 0.000 0.000
2.345 2.345 0.000
2.345 0.000 2.345
4.689 2.345 2.345
0.000 2.345 2.345
2.345 4.689 2.345
2.345 2.345 4.689
4.689 4.689 4.689
```

Output
SG: Fm-3m
polymorph energy (0 for the lowest one): 0.26 eV/f.u.
VASP energy: -7.65 eV per cell
DOS at the Fermi energy: 5.3 states/eV/cell
total magnetic moment: 0.00 μB/f.u.

---

[6]
VASP calculation (PBE-GGA) on a relaxed structure of InOs3Ru.

Cell and atoms, written as POSCAR:
```
InOs3Ru
1.0
4.684 0.000 0.000
0.000 4.684 0.000
0.000 0.000 4.684
In Os Ru
1 3 1
Cartesian
0.000 0.000 0.000
0.000 2.342 2.342
2.342 0.000 2.342
2.342 2.342 0.000
2.342 2.342 2.342
```

Output
SG: Pm-3m
polymorph energy (0 for the lowest one): 0.00 eV/f.u.
VASP energy: -35.28 eV per cell
DOS at the Fermi energy: 9.2 states/eV/cell
total magnetic moment: 0.00 μB/f.u.

---

[7]
VASP calculation (PBE-GGA) on a relaxed structure of OsPbC2Br.

Cell and atoms, written as POSCAR:
```
OsPbC2Br
1.0
4.306 0.000 0.000
0.000 4.306 0.000
0.000 0.000 5.477
Os Pb C Br
1 1 2 1
Cartesian
0.000 0.000 0.000
2.153 2.153 2.739
0.000 2.153 2.739
2.153 0.000 2.739
2.153 2.153 0.000
```

Output
SG: P4/mmm
VASP energy: -17.81 eV per cell
DOS at the Fermi energy: 6.9 states/eV/cell
formation energy from raw total energies: 3.449 eV per atom
total magnetic moment: 0.00 μB/f.u.

---

[8]
VASP calculation (PBE-GGA) on a relaxed structure of Tl2AgSnH.

Cell and atoms, written as POSCAR:
```
Tl2AgSnH
1.0
5.836 0.000 0.000
0.000 5.836 0.000
0.000 0.000 3.512
Tl Ag Sn H
2 1 1 1
Cartesian
0.000 2.918 0.000
2.918 0.000 0.000
0.000 0.000 0.000
2.918 2.918 1.756
0.000 0.000 1.756
```

Output
SG: P4/mmm
VASP energy: -13.91 eV per cell
DOS at the Fermi energy: 1.3 states/eV/cell
total magnetic moment: 0.00 μB/f.u.

---

[9]
VASP calculation (PBE-GGA) on a relaxed structure of ZrTiSe2N.

Cell and atoms, written as POSCAR:
```
ZrTiSe2N
1.0
5.295 0.000 0.000
0.000 5.295 0.000
0.000 0.000 3.980
Zr Ti Se N
1 1 2 1
Cartesian
0.000 0.000 0.000
2.647 2.647 1.990
0.000 2.647 0.000
2.647 0.000 0.000
0.000 0.000 1.990
```

Output
SG: P4/mmm
polymorph energy (0 for the lowest one): 1.99 eV/f.u.
VASP energy: -32.08 eV per cell
DOS at the Fermi energy: 8.8 states/eV/cell
formation energy from raw total energies: -0.069 eV per atom
total magnetic moment: 0.02 μB/f.u.

---

[10]
VASP calculation (PBE-GGA) on a relaxed structure of NiRuBr2.

Cell and atoms, written as POSCAR:
```
NiRuBr2
1.0
3.313 0.000 0.000
0.000 3.313 0.000
0.000 0.000 7.887
Ni Ru Br
1 1 2
Cartesian
0.000 0.000 0.000
1.656 1.656 1.204
0.000 0.000 2.935
1.656 1.656 6.514
```

Output
SG: P4mm
polymorph energy (0 for the lowest one): 0.93 eV/f.u.
VASP energy: -16.78 eV per cell
DOS at the Fermi energy: 3.2 states/eV/cell
formation energy from raw total energies: 0.406 eV per atom
total magnetic moment: 3.62 μB/f.u.

---

[11]
VASP calculation (PBE-GGA) on a relaxed structure of Ca2CuSi.

Cell and atoms, written as POSCAR:
```
Ca2CuSi
1.0
4.284 0.000 0.000
0.000 4.545 0.000
0.000 0.000 10.044
Ca Cu Si
4 2 2
Cartesian
0.000 0.000 0.000
0.000 2.273 5.022
2.142 0.000 2.896
2.142 2.273 7.918
0.000 0.000 6.935
0.000 2.273 1.913
2.142 0.000 5.972
2.142 2.273 0.950
```

Output
SG: Amm2
VASP energy: -29.68 eV per cell
DOS at the Fermi energy: 4.4 states/eV/cell
formation energy from raw total energies: -0.329 eV per atom
total magnetic moment: 0.00 μB/f.u.

---

[12]
VASP calculation (PBE-GGA) on a relaxed structure of Ca3TlPd.

Cell and atoms, written as POSCAR:
```
Ca3TlPd
1.0
8.252 0.000 0.000
0.000 4.310 0.000
-2.907 0.000 8.434
Ca Tl Pd
6 2 2
Cartesian
-0.170 1.077 2.061
-0.124 1.077 7.805
1.041 3.232 4.912
4.305 1.077 3.522
5.469 3.232 0.629
5.515 3.232 6.373
2.308 3.232 1.759
3.038 1.077 6.675
-1.120 1.077 5.033
6.465 3.232 3.401
```

Output
SG: P2_1/m
polymorph energy (0 for the lowest one): 0.00 eV/f.u.
VASP energy: -31.94 eV per cell
DOS at the Fermi energy: 4.6 states/eV/cell
total magnetic moment: 0.00 μB/f.u.